Below is an optimized crystal structure of Zr8Ni, with properties calculated at the GGA-PBE level.

Properties
DFT formation energy: 0.0478 eV/atom
Total magnetic moment: 0.0 μB/f.u.

Unit cell a=7.0892 b=7.0892 c=7.0892 alpha=95.26 beta=95.26 gamma=144.76
With the nearest neighbours (Å) after each atom.
Fractional coordinates of all 9 atoms:
Zr 0.0000 0.3305 0.3305  11 Zr 3.10-3.24, 1 Ni 3.16
Zr 0.0000 0.6695 0.6695  11 Zr 3.10-3.24, 1 Ni 3.16
Zr 0.3305 0.0000 0.3305  11 Zr 3.10-3.24, 1 Ni 3.16
Zr 0.3377 0.3377 0.6754  2 Ni 3.07, 10 Zr 3.10-3.23
Zr 0.3377 0.6623 0.0000  2 Ni 3.07, 10 Zr 3.10-3.23
Zr 0.6623 0.3377 0.0000  2 Ni 3.07, 10 Zr 3.10-3.23
Zr 0.6623 0.6623 0.3246  2 Ni 3.07, 10 Zr 3.10-3.23
Zr 0.6695 0.0000 0.6695  11 Zr 3.10-3.24, 1 Ni 3.16
Ni 0.0000 0.0000 0.0000  12 Zr 3.07-3.16